No. 1
Here is a geometry-optimized Mg3ZrSi structure from Alexandria via LeMat-Bulk. Energies are from PBE.

Calculated values
Size of the total moment, μB/atom: 0.000
ΔE to the lowest computed polymorph, meV per atom: 0.0
Calculated volume, A^3/atom: 23.98
ρ, Mg/m³: 2.66
DFT total energy, eV for the cell shown: -16.06

```
Mg3ZrSi
1.0
4.9311 0.0000 0.0000
0.0000 4.9311 0.0000
0.0000 0.0000 4.9311
Si Mg Zr
1 3 1
direct
0.0000 0.0000 0.0000
0.0000 0.0000 0.5000
0.0000 0.5000 0.0000
0.5000 0.0000 0.0000
0.5000 0.5000 0.5000
```

=====

No. 2
Here is a geometry-optimized CsCdRhBr6 structure from Alexandria via LeMat-Bulk. Energies are from PBE.

Calculated values
Size of the total moment, μB/atom: 0.000
Calculated volume, A^3/atom: 38.01
ρ, Mg/m³: 4.02
DFT total energy, eV for the cell shown: -26.93

```
CsCdRhBr6
1.0
6.9758 0.0002 -0.0001
3.4881 6.0413 0.0001
0.0002 -0.0004 8.1170
Br Cs Cd Rh
6 1 1 1
direct
0.6176 0.0322 0.3189
0.3501 0.6176 0.3189
0.0322 0.6176 0.6811
0.6176 0.3501 0.6811
0.0322 0.3501 0.3189
0.3501 0.0323 0.6811
0.0000 0.0000 0.0000
0.6666 0.6667 0.5000
0.3333 0.3333 0.5000
```

=====

No. 3
Here is a geometry-optimized MnV6Fe structure from Alexandria via LeMat-Bulk. Energies are from PBE.

Calculated values
Size of the total moment, μB/atom: 0.019
ΔE to the lowest computed polymorph, meV per atom: 543.2
Calculated volume, A^3/atom: 13.35
ρ, Mg/m³: 6.48
Energy of formation, eV per atom: 0.38
DFT total energy, eV for the cell shown: -69.27

```
MnV6Fe
1.0
4.9818 -0.5696 -0.4818
-2.3821 4.4123 -0.4818
-0.9477 -1.4009 5.5279
V Fe Mn
6 1 1
direct
0.4677 0.0187 0.2501
0.2474 0.2474 0.7497
0.0187 0.4677 0.2501
0.7526 0.7526 0.2503
0.5323 0.9813 0.7499
0.9813 0.5323 0.7499
0.0000 0.0000 0.0000
0.5000 0.5000 0.5000
```

=====

No. 4
Here is a geometry-optimized CsSbAu4 structure from Alexandria via LeMat-Bulk. Energies are from PBE.

Calculated values
Size of the total moment, μB/atom: 0.000
Calculated volume, A^3/atom: 36.97
ρ, Mg/m³: 7.81
DFT total energy, eV for the cell shown: -18.19

```
CsSbAu4
1.0
-4.3746 -1.9031 -2.2712
-1.6812 -1.7407 4.6969
-3.6463 6.9422 1.2773
Au Cs Sb
4 1 1
direct
0.9996 0.5001 0.8360
0.0000 0.0000 0.5000
0.0004 0.4999 0.1640
0.5000 0.5000 0.5000
0.5000 0.0000 0.0000
0.0000 0.5000 0.5000
```

=====

No. 5
Here is a geometry-optimized Pm3NdSb2 structure from Alexandria via LeMat-Bulk. Energies are from PBE.

Calculated values
Size of the total moment, μB/atom: 0.000
ΔE to the lowest computed polymorph, meV per atom: 0.0
Calculated volume, A^3/atom: 30.76
ρ, Mg/m³: 7.40
DFT total energy, eV for the cell shown: -32.20

```
Pm3NdSb2
1.0
-3.9388 1.2141 -1.9854
-0.2133 -4.0749 -2.0687
-4.4670 -3.2548 6.8718
Nd Sb Pm
1 2 3
direct
0.5000 0.5000 0.0000
0.0000 0.5000 0.2803
0.5000 0.0000 0.7197
0.5000 0.0000 0.3556
0.0000 0.5000 0.6444
0.0000 0.0000 0.0000
```

=====

No. 6
Here is a geometry-optimized ZnCo2TcH structure from Alexandria via LeMat-Bulk. Energies are from PBE.

Calculated values
Size of the total moment, μB/atom: 0.822
Calculated volume, A^3/atom: 10.60
ρ, Mg/m³: 8.84
DFT total energy, eV for the cell shown: -28.58

```
ZnCo2TcH
1.0
3.7368 0.0000 0.0000
0.0000 3.7368 0.0000
0.0000 0.0000 3.7970
Co Zn H Tc
2 1 1 1
direct
0.0000 0.5000 0.0000
0.5000 0.0000 0.0000
0.5000 0.5000 0.5000
0.0000 0.0000 0.0000
0.0000 0.0000 0.5000
```

=====

No. 7
Here is a geometry-optimized BaPm2Pt structure from Alexandria via LeMat-Bulk. Energies are from PBE.

Calculated values
Size of the total moment, μB/atom: 0.000
ΔE to the lowest computed polymorph, meV per atom: 69.9
Calculated volume, A^3/atom: 34.08
ρ, Mg/m³: 7.58
Energy of formation, eV per atom: -0.45
DFT total energy, eV for the cell shown: -19.28

```
BaPm2Pt
1.0
3.7003 0.0000 0.0000
0.0000 3.7003 0.0000
0.0000 0.0000 9.9547
Pm Ba Pt
2 1 1
direct
0.0000 0.0000 0.1631
0.0000 0.0000 0.8369
0.5000 0.5000 0.5000
0.5000 0.5000 0.0000
```

=====

No. 8
Here is a geometry-optimized MnBiCl6 structure from Alexandria via LeMat-Bulk. Energies are from PBE.

Calculated values
Size of the total moment, μB/atom: 0.500
ΔE to the lowest computed polymorph, meV per atom: 0.0
Calculated volume, A^3/atom: 42.34
ρ, Mg/m³: 2.34
DFT total energy, eV for the cell shown: -31.35

```
MnBiCl6
1.0
6.4666 0.0000 1.9046
-3.2316 6.5967 3.0185
0.0034 0.0000 7.9417
Mn Cl Bi
1 6 1
direct
0.0000 0.0000 0.0000
0.6173 0.7453 0.2547
0.1279 0.7453 0.0000
0.8721 0.0000 0.7453
0.3827 0.2547 0.7453
0.1279 0.0000 0.2547
0.8721 0.2547 0.0000
0.5000 0.0000 0.0000
```

=====

No. 9
Here is a geometry-optimized Ce4Zn4Cd3 structure from Alexandria via LeMat-Bulk. Energies are from PBE.

Calculated values
Size of the total moment, μB/atom: 0.246
Calculated volume, A^3/atom: 22.17
ρ, Mg/m³: 7.89
Energy of formation, eV per atom: -0.04
DFT total energy, eV for the cell shown: -32.03

```
Ce4Zn4Cd3
1.0
2.9652 0.0000 0.0000
0.0000 8.5624 0.0000
-1.4826 -4.2812 9.6045
Zn Ce Cd
4 4 3
direct
0.2794 0.7794 0.5588
0.5000 0.7932 0.0000
0.7206 0.2206 0.4412
0.5000 0.2068 0.0000
0.3452 0.1875 0.6904
0.6548 0.4971 0.3096
0.3452 0.5029 0.6904
0.6548 0.8125 0.3096
0.0932 0.0932 0.1865
0.0000 0.5000 0.0000
0.9068 0.9068 0.8135
```

=====

No. 10
Here is a geometry-optimized LaZr2Br structure from Alexandria via LeMat-Bulk. Energies are from PBE.

Calculated values
Size of the total moment, μB/atom: 0.074
ΔE to the lowest computed polymorph, meV per atom: 128.7
Calculated volume, A^3/atom: 25.91
ρ, Mg/m³: 6.43
DFT total energy, eV for the cell shown: -24.25

```
LaZr2Br
1.0
-0.2853 -5.2090 4.3581
0.2241 -6.6381 1.4469
4.7188 -1.5023 1.5632
La Br Zr
1 1 2
direct
0.2500 0.2500 0.2500
0.7500 0.7500 0.7500
0.0319 0.0319 0.9652
0.4681 0.4681 0.5348
```

=====

No. 11
Here is a geometry-optimized Sc2ReP structure from Alexandria via LeMat-Bulk. Energies are from PBE.

Calculated values
Size of the total moment, μB/atom: 0.008
Calculated volume, A^3/atom: 18.29
ρ, Mg/m³: 6.97
Energy of formation, eV per atom: -0.41
DFT total energy, eV for the cell shown: -32.16

```
Sc2ReP
1.0
3.1069 0.0000 0.0000
0.0000 3.1069 0.0000
0.0000 0.0000 7.5793
Sc P Re
2 1 1
direct
0.0000 0.0000 0.9478
0.5000 0.5000 0.3083
0.0000 0.0000 0.5497
0.5000 0.5000 0.6941
```

=====

No. 12
Here is a geometry-optimized SrCa2Cd2 structure from Alexandria via LeMat-Bulk. Energies are from PBE.

Calculated values
Size of the total moment, μB/atom: 0.000
ΔE to the lowest computed polymorph, meV per atom: 65.2
Calculated volume, A^3/atom: 35.67
ρ, Mg/m³: 3.66
Energy of formation, eV per atom: -0.20
DFT total energy, eV for the cell shown: -8.53

```
SrCa2Cd2
1.0
5.0415 0.0000 0.0000
0.0000 5.0415 0.0000
2.5207 2.5207 7.0166
Cd Sr Ca
2 1 2
direct
0.6012 0.6012 0.7976
0.3988 0.3988 0.2024
0.0000 0.0000 0.0000
0.2500 0.7500 0.5000
0.7500 0.2500 0.5000
```